1.
DFT (PBE) results for an optimized crystal structure of LiCaTl2O4.

```
data_LiCaTl2O4
_chemical_formula_sum 'Li4 Ca4 Tl8 O16'
_space_group_name_H-M_alt 'C m c m'
_space_group_IT_number 63
_space_group_name_Hall '-C 2c 2'
_cell_length_a 3.420
_cell_length_b 11.292
_cell_length_c 11.562
_cell_angle_alpha 90.00
_cell_angle_beta 90.00
_cell_angle_gamma 90.00
loop_
_atom_site_label
_atom_site_type_symbol
_atom_site_fract_x
_atom_site_fract_y
_atom_site_fract_z
Li1 Li 0.000 0.158 0.250
Ca1 Ca 0.000 0.107 0.750
Tl1 Tl 0.000 0.367 0.555
O1 O 0.000 0.000 0.000
O2 O 0.000 0.279 0.128
O3 O 0.000 0.445 0.750
```

Summary:
magnetic moment: 0.000 μB per formula unit
density of states at the Fermi level: 1.6 states/eV/f.u.
E: -157.49 eV per cell

=====

2.
DFT (PBE) results for an optimized crystal structure of LiCa2TmO4.

```
data_LiCa2TmO4
_chemical_formula_sum 'Li1 Ca2 Tm1 O4'
_space_group_name_H-M_alt 'P 1 2/m 1'
_space_group_IT_number 10
_space_group_name_Hall '-P 2y'
_cell_length_a 5.673
_cell_length_b 3.367
_cell_length_c 5.742
_cell_angle_alpha 90.00
_cell_angle_beta 108.15
_cell_angle_gamma 90.00
loop_
_atom_site_label
_atom_site_type_symbol
_atom_site_fract_x
_atom_site_fract_y
_atom_site_fract_z
Li1 Li 0.000 0.000 0.000
Ca1 Ca 0.000 0.500 0.500
Ca2 Ca 0.500 0.000 0.500
Tm1 Tm 0.500 0.500 0.000
O1 O 0.262 0.000 0.768
O2 O 0.264 0.500 0.249
```

Summary:
magnetic moment: 0.000 μB per formula unit
density of states at the Fermi level: 0.0 states/eV/f.u.
E: -53.50 eV per cell

=====

3.
DFT (PBE) results for an optimized crystal structure of LiCa2UO6.

```
data_LiCa2UO6
_chemical_formula_sum 'Li2 Ca4 U2 O12'
_space_group_name_H-M_alt 'C 1 2/m 1'
_space_group_IT_number 12
_space_group_name_Hall '-C 2y'
_cell_length_a 10.264
_cell_length_b 5.530
_cell_length_c 5.643
_cell_angle_alpha 90.00
_cell_angle_beta 121.37
_cell_angle_gamma 90.00
loop_
_atom_site_label
_atom_site_type_symbol
_atom_site_fract_x
_atom_site_fract_y
_atom_site_fract_z
Li1 Li 0.000 0.000 0.000
Ca1 Ca 0.243 0.500 0.206
U1 U 0.000 0.500 0.500
O1 O 0.075 0.251 0.818
O2 O 0.219 0.500 0.591
```

Summary:
magnetic moment: 0.000 μB per formula unit
density of states at the Fermi level: 6.1 states/eV/f.u.
E: -148.41 eV per cell

=====

Looking at calculated volume for the records above, in order, we have 446.53; 104.22; 273.49 Å³ per cell.